1.
Computed, not measured: an optimized crystal structure of Sc3CoSb at the PBE-GGA level of DFT.

a = 4.7975 Å, b = 4.7975 Å, c = 4.7975 Å
α = 90.00°, β = 90.00°, γ = 90.00°
Closest atoms and distances in Å follow each position.
Space group Pm-3m (No. 221)
Unique sites:
Sc 0.0000 0.0000 0.5000 (multiplicity 3)  2 Co 2.40
Co 0.0000 0.0000 0.0000 (multiplicity 1)  6 Sc 2.40
Sb 0.5000 0.5000 0.5000 (multiplicity 1)  12 Sc 3.39

Computed properties:
DOS at the Fermi energy	1.429	states/eV/atom
total energy	-6.4193	eV per atom
ρ	4.7	g/cm3
total magnetization	0.0	μB/f.u.
energy above the lowest structure with this stoichiometry	0.0	meV per atom
formation energy from raw total energies	-0.375	eV/atom



2.
Computed, not measured: an optimized crystal structure of Sn2Pt2Au at the PBE-GGA level of DFT.

a = 3.8698 Å, b = 3.8698 Å, c = 14.3834 Å
α = 90.00°, β = 90.00°, γ = 90.00°
Closest atoms and distances in Å follow each position.
Space group I4/mmm (No. 139)
Unique sites:
Sn 0.0000 0.0000 0.1118 (multiplicity 4)  4 Pt 2.77
Pt 0.0000 0.5000 0.2500 (multiplicity 4)  4 Pt 2.74, 4 Sn 2.77
Au 0.0000 0.0000 0.5000 (multiplicity 2)  8 Sn 3.17

Computed properties:
DOS at the Fermi energy	0.422	states/eV/atom
total energy	-4.8235	eV per atom
ρ	12.7	g/cm3
total magnetization	0.0	μB/f.u.
energy above the lowest structure with this stoichiometry	142.9	meV per atom
energy of formation	-73	kJ/mol of formula units